No. 1
Here is a relaxed AcSm4Pb4 crystal from Alexandria. Energies are from GGA-PBE.

Structure (CIF):
```
data_AcSm4Pb4
_cell_length_a 6.341
_cell_length_b 10.342
_cell_length_c 10.342
_cell_angle_alpha 90.00
_cell_angle_beta 90.00
_cell_angle_gamma 90.00
_symmetry_space_group_name_H-M 'P 1'
_symmetry_Int_Tables_number 1
loop_
_symmetry_equiv_pos_as_xyz
'x,y,z'
loop_
_atom_site_label
_atom_site_fract_x
_atom_site_fract_y
_atom_site_fract_z
Pb1 0.000 0.115 0.307
Sm1 0.500 0.893 0.682
Sm2 0.000 0.393 0.182
Pb2 0.000 0.693 0.115
Sm3 0.000 0.818 0.393
Sm4 0.000 0.607 0.818
Pb3 0.000 0.885 0.693
Sm5 0.500 0.682 0.107
Sm6 0.500 0.107 0.318
Pb4 0.500 0.193 0.615
Pb5 0.500 0.807 0.385
Pb6 0.500 0.615 0.807
Sm7 0.000 0.182 0.607
Ac1 0.500 0.500 0.500
Pb7 0.000 0.307 0.885
Pb8 0.500 0.385 0.193
Sm8 0.500 0.318 0.893
Ac2 0.000 0.000 0.000
```

electronic total energy: -81.2 eV/cell
ΔH_f (0 K): -2.8 eV per formula unit

No. 2
Here is a relaxed CaNb2CuBrO7 crystal from Alexandria. Energies are from GGA-PBE.

Structure (CIF):
```
data_CaNb2CuBrO7
_cell_length_a 3.944
_cell_length_b 3.944
_cell_length_c 11.579
_cell_angle_alpha 90.00
_cell_angle_beta 90.00
_cell_angle_gamma 90.00
_symmetry_space_group_name_H-M 'P 1'
_symmetry_Int_Tables_number 1
loop_
_symmetry_equiv_pos_as_xyz
'x,y,z'
loop_
_atom_site_label
_atom_site_fract_x
_atom_site_fract_y
_atom_site_fract_z
O1 0.500 0.000 0.153
O2 0.000 0.500 0.847
O3 0.500 0.500 0.656
O4 0.500 0.000 0.847
Nb1 0.500 0.500 0.816
O5 0.500 0.500 0.000
Nb2 0.500 0.500 0.184
Cu1 0.500 0.500 0.500
Br1 0.000 0.000 0.500
O6 0.500 0.500 0.344
O7 0.000 0.500 0.153
Ca1 0.000 0.000 0.000
```

electronic total energy: -87.1 eV/cell
energy relative to the elements, uncorrected: -2.04 eV per atom

No. 3
Here is a relaxed UTa2Ru crystal from Alexandria. Energies are from GGA-PBE.

Structure (CIF):
```
data_UTa2Ru
_cell_length_a 4.650
_cell_length_b 4.650
_cell_length_c 4.650
_cell_angle_alpha 60.00
_cell_angle_beta 60.00
_cell_angle_gamma 60.00
_symmetry_space_group_name_H-M 'P 1'
_symmetry_Int_Tables_number 1
loop_
_symmetry_equiv_pos_as_xyz
'x,y,z'
loop_
_atom_site_label
_atom_site_fract_x
_atom_site_fract_y
_atom_site_fract_z
Ru1 0.000 0.000 0.000
U1 0.500 0.500 0.500
Ta1 0.750 0.750 0.750
Ta2 0.250 0.250 0.250
```

electronic total energy: -43.5 eV/cell
excess energy over the best structure of this formula in the dataset: 221 meV per atom
ΔH_f (0 K): 0.8 eV per formula unit

No. 4
Here is a relaxed YHg2Br crystal from Alexandria. Energies are from GGA-PBE.

Structure (CIF):
```
data_YHg2Br
_cell_length_a 3.761
_cell_length_b 5.179
_cell_length_c 5.785
_cell_angle_alpha 90.00
_cell_angle_beta 90.00
_cell_angle_gamma 90.00
_symmetry_space_group_name_H-M 'P 1'
_symmetry_Int_Tables_number 1
loop_
_symmetry_equiv_pos_as_xyz
'x,y,z'
loop_
_atom_site_label
_atom_site_fract_x
_atom_site_fract_y
_atom_site_fract_z
Y1 0.500 0.500 0.250
Hg1 0.000 0.000 0.496
Br1 0.500 0.500 0.750
Hg2 0.000 0.000 0.004
```

electronic total energy: -10.5 eV/cell
excess energy over the best structure of this formula in the dataset: 148 meV per atom
energy relative to the elements, uncorrected: -0.44 eV per atom